Ag2GeCl6: relaxed, GGA-PBE.

Unit cell a=6.5773 b=6.3719 c=12.8192 alpha=90.00 beta=120.26 gamma=90.00
Closest atoms and distances in Å follow each position.
Space group P2_1/c (No. 14)
One atom of each set of equivalent atoms:
Ag: 0.1943 0.0176 0.1902 (multiplicity 4)  5 Cl 2.62-2.86
Ge: 0.5000 0.0000 0.0000 (multiplicity 2)  6 Cl 2.31-2.37
Cl: 0.1929 0.6940 0.3410 (multiplicity 4)  1 Ge 2.37, 1 Ag 2.62
Cl: 0.2275 0.2254 0.0017 (multiplicity 4)  1 Ge 2.31
Cl: 0.4727 0.7188 0.6422 (multiplicity 4)  1 Ge 2.37

## Properties
* VASP energy: -53.669 eV/cell
* calculated density: 3.59 g/cm³
* raw formation energy: -604 meV/atom

---

AgGe2Cl2: relaxed, GGA-PBE.

Unit cell a=7.3552 b=7.3552 c=4.6660 alpha=90.00 beta=90.00 gamma=90.00
Closest atoms and distances in Å follow each position.
Space group P4/mbm (No. 127)
One atom of each set of equivalent atoms:
Ag: 0.0000 0.0000 0.0000 (multiplicity 2)  4 Ge 2.61
Ge: 0.2307 0.2693 0.0000 (multiplicity 4)  2 Cl 2.57, 2 Ag 2.61
Cl: 0.1661 0.6661 0.5000 (multiplicity 4)  2 Ge 2.57

## Properties
* VASP energy: -32.650 eV/cell
* D(E_F): 1.1 states/eV/f.u.
* calculated density: 4.26 g/cm³
* raw formation energy: -109 meV/atom

---

AgGeCl3: relaxed, GGA-PBE.

Unit cell a=5.0521 b=5.0521 c=5.0521 alpha=90.00 beta=90.00 gamma=90.00
Closest atoms and distances in Å follow each position.
Space group Pm-3m (No. 221)
One atom of each set of equivalent atoms:
Ag: 0.0000 0.0000 0.0000 (multiplicity 1)  6 Cl 2.53
Ge: 0.5000 0.5000 0.5000 (multiplicity 1)  12 Cl 3.57
Cl: 0.0000 0.0000 0.5000 (multiplicity 3)  2 Ag 2.53

## Properties
* VASP energy: -13.191 eV/cell
* D(E_F): 3.6 states/eV/f.u.
* calculated density: 3.69 g/cm³
* raw formation energy: -36 meV/atom

---

Ag2GeHCl: relaxed, GGA-PBE.

Unit cell a=5.4095 b=5.4095 c=3.0681 alpha=90.00 beta=90.00 gamma=90.00
Closest atoms and distances in Å follow each position.
Space group P4/mmm (No. 123)
One atom of each set of equivalent atoms:
Ag: 0.0000 0.5000 0.0000 (multiplicity 2)  2 Cl 2.70
Ge: 0.0000 0.0000 0.5000 (multiplicity 1)  2 Ge 3.07, 8 Ag 3.11
H: 0.5000 0.5000 0.5000 (multiplicity 1)  2 Cl 1.53
Cl: 0.5000 0.5000 0.0000 (multiplicity 1)  2 H 1.53

## Properties
* VASP energy: -13.494 eV/cell
* D(E_F): 1.6 states/eV/f.u.
* calculated density: 6.01 g/cm³

---

K4AgGe3Cl12: relaxed, GGA-PBE.

Unit cell a=10.4103 b=10.4103 c=10.4103 alpha=90.00 beta=90.00 gamma=90.00
Closest atoms and distances in Å follow each position.
Space group Im-3m (No. 229)
One atom of each set of equivalent atoms:
K: 0.2500 0.2500 0.2500 (multiplicity 8)  12 Cl 3.68
Ag: 0.0000 0.0000 0.0000 (multiplicity 2)  6 Cl 2.66
Ge: 0.0000 0.0000 0.5000 (multiplicity 6)  6 Cl 2.54-2.60
Cl: 0.0000 0.0000 0.2557 (multiplicity 12)  1 Ge 2.54, 1 Ag 2.66
Cl: 0.0000 0.2500 0.5000 (multiplicity 12)  2 Ge 2.60

## Properties
* VASP energy: -134.919 eV/cell
* D(E_F): 3.6 states/eV/f.u.
* calculated density: 2.67 g/cm³
* raw formation energy: -1210 meV/atom

---

KAgGe2Cl6: relaxed, GGA-PBE.

Unit cell a=11.6866 b=15.1284 c=8.7100 alpha=90.00 beta=115.35 gamma=90.00
Closest atoms and distances in Å follow each position.
Space group C2/c (No. 15)
One atom of each set of equivalent atoms:
K: 0.0000 0.0806 0.2500 (multiplicity 4)  6 Cl 3.21-3.49
Ag: 0.0000 0.2178 0.7500 (multiplicity 4)  4 Cl 2.59-2.75
Ge: 0.1334 0.3945 0.1811 (multiplicity 8)  3 Cl 2.28-2.45
Cl: 0.1187 0.2441 0.0741 (multiplicity 8)  1 Ge 2.44, 1 Ag 2.59
Cl: 0.1364 0.0982 0.6569 (multiplicity 8)  1 Ge 2.45
Cl: 0.1407 0.4622 0.9519 (multiplicity 8)  1 Ge 2.28

## Properties
* VASP energy: -134.804 eV/cell
* D(E_F): 0.0 states/eV/f.u.
* calculated density: 2.41 g/cm³
* raw formation energy: -944 meV/atom